VASP calculation (PBE) on a relaxed structure of Pm2Cd6Pb.

a = 6.4677 Å, b = 6.4677 Å, c = 6.3792 Å
α = 90.01°, β = 90.01°, γ = 59.99°
Atoms (fractional coordinates):
1 Pm 0.1674 0.1674 0.1487
2 Pm 0.8326 0.8326 0.8513
3 Cd 0.1340 0.6828 0.3384
4 Cd 0.3166 0.3166 0.6620
5 Cd 0.3172 0.8660 0.6616
6 Cd 0.6828 0.1340 0.3384
7 Cd 0.6834 0.6834 0.3380
8 Cd 0.8660 0.3172 0.6616
9 Pb 0.5000 0.5000 0.0000

Properties
N(E_F) = 0.760 states/eV per atom
Formation enthalpy at 0 K = -0.213 eV per atom
Magnetic moment = 0.0 μB/f.u.
Relative energy among the computed polymorphs = 12 meV/atom
Raw total energy = -20.6 eV for the cell shown



VASP calculation (PBE) on a relaxed structure of TeMo2H.

a = 6.2481 Å, b = 6.2481 Å, c = 6.2481 Å
α = 90.00°, β = 90.00°, γ = 90.00°
Atoms (fractional coordinates):
1 Te 0.0000 0.0000 0.0000
2 Te 0.0000 0.5000 0.5000
3 Te 0.5000 0.0000 0.5000
4 Te 0.5000 0.5000 0.0000
5 Mo 0.2500 0.2500 0.2500
6 Mo 0.2500 0.2500 0.7500
7 Mo 0.2500 0.7500 0.2500
8 Mo 0.2500 0.7500 0.7500
9 Mo 0.7500 0.2500 0.2500
10 Mo 0.7500 0.2500 0.7500
11 Mo 0.7500 0.7500 0.2500
12 Mo 0.7500 0.7500 0.7500
13 H 0.0000 0.0000 0.5000
14 H 0.0000 0.5000 0.0000
15 H 0.5000 0.0000 0.0000
16 H 0.5000 0.5000 0.5000

Properties
N(E_F) = 1.106 states/eV per atom
Magnetic moment = 1.2 μB/f.u.
Relative energy among the computed polymorphs = 507 meV/atom
Raw total energy = -97.7 eV for the cell shown



VASP calculation (PBE) on a relaxed structure of Tl2AgAs.

a = 10.5885 Å, b = 3.2547 Å, c = 5.8204 Å
α = 90.00°, β = 102.13°, γ = 90.00°
Atoms (fractional coordinates):
1 Tl 0.2479 0.0000 0.2471
2 Tl 0.2521 0.5000 0.7529
3 Tl 0.7479 0.5000 0.2471
4 Tl 0.7521 0.0000 0.7529
5 Ag 0.0000 0.5000 0.0000
6 Ag 0.5000 0.0000 0.0000
7 As 0.0000 0.0000 0.5000
8 As 0.5000 0.5000 0.5000

Properties
N(E_F) = 0.365 states/eV per atom
Formation enthalpy at 0 K = 0.237 eV per atom
Magnetic moment = 0.0 μB/f.u.
Relative energy among the computed polymorphs = 225 meV/atom
Raw total energy = -22.6 eV for the cell shown



VASP calculation (PBE) on a relaxed structure of TaRuSe4.

a = 5.4054 Å, b = 5.4054 Å, c = 5.4054 Å
α = 60.00°, β = 60.00°, γ = 60.00°
Atoms (fractional coordinates):
1 Ta 0.0000 0.0000 0.0000
2 Ru 0.7500 0.7500 0.7500
3 Se 0.3755 0.3755 0.3755
4 Se 0.3755 0.3755 0.8734
5 Se 0.3755 0.8734 0.3755
6 Se 0.8734 0.3755 0.3755

Properties
N(E_F) = 0.734 states/eV per atom
Raw formation energy = 7.4 eV/f.u.
Magnetic moment = 0.0 μB/f.u.
Relative energy among the computed polymorphs = 1614 meV/atom
Raw total energy = -27.6 eV for the cell shown



VASP calculation (PBE) on a relaxed structure of TlAgOsI2.

a = 5.6791 Å, b = 5.6791 Å, c = 5.7117 Å
α = 90.00°, β = 90.00°, γ = 90.00°
Atoms (fractional coordinates):
1 Tl 0.0000 0.0000 0.0000
2 Ag 0.0000 0.0000 0.5000
3 Os 0.5000 0.5000 0.0000
4 I 0.0000 0.5000 0.5000
5 I 0.5000 0.0000 0.5000

Properties
N(E_F) = 0.186 states/eV per atom
Raw formation energy = 6.5 eV/f.u.
Magnetic moment = 4.0 μB/f.u.
Raw total energy = -13.0 eV for the cell shown



VASP calculation (PBE) on a relaxed structure of LaHfB2.

a = 4.9065 Å, b = 4.9065 Å, c = 14.2610 Å
α = 90.00°, β = 90.00°, γ = 90.00°
Atoms (fractional coordinates):
1 La 0.0000 0.0000 0.0000
2 La 0.0000 0.5000 0.2500
3 La 0.5000 0.0000 0.7500
4 La 0.5000 0.5000 0.5000
5 Hf 0.0000 0.0000 0.5000
6 Hf 0.0000 0.5000 0.7500
7 Hf 0.5000 0.0000 0.2500
8 Hf 0.5000 0.5000 0.0000
9 B 0.1434 0.2500 0.6250
10 B 0.2500 0.6434 0.8750
11 B 0.2500 0.8566 0.3750
12 B 0.3566 0.2500 0.1250
13 B 0.6434 0.7500 0.1250
14 B 0.7500 0.1434 0.3750
15 B 0.7500 0.3566 0.8750
16 B 0.8566 0.7500 0.6250

Properties
N(E_F) = 0.629 states/eV per atom
Formation enthalpy at 0 K = 0.588 eV per atom
Magnetic moment = 0.0 μB/f.u.
Relative energy among the computed polymorphs = 144 meV/atom
Raw total energy = -103.5 eV for the cell shown



VASP calculation (PBE) on a relaxed structure of Sr2Si4Ir5.

a = 8.6372 Å, b = 7.5831 Å, c = 5.7815 Å
α = 79.27°, β = 59.61°, γ = 41.12°
Atoms (fractional coordinates):
1 Sr 0.1279 0.1279 0.8721
2 Sr 0.8721 0.8721 0.1279
3 Si 0.2088 0.5360 0.4640
4 Si 0.4640 0.7912 0.2088
5 Si 0.5360 0.2088 0.7912
6 Si 0.7912 0.4640 0.5360
7 Ir 0.0000 0.0000 0.5000
8 Ir 0.2500 0.2500 0.2500
9 Ir 0.5000 0.5000 0.0000
10 Ir 0.5000 0.5000 0.5000
11 Ir 0.7500 0.7500 0.7500

Properties
N(E_F) = 0.323 states/eV per atom
Raw formation energy = -8.4 eV/f.u.
Magnetic moment = 0.0 μB/f.u.
Raw total energy = -77.8 eV for the cell shown



VASP calculation (PBE) on a relaxed structure of DyInHg2.

a = 3.8315 Å, b = 3.8315 Å, c = 25.7078 Å
α = 90.00°, β = 90.00°, γ = 120.00°
Atoms (fractional coordinates):
1 Dy 0.0000 0.0000 0.0000
2 Dy 0.3333 0.6667 0.6667
3 Dy 0.6667 0.3333 0.3333
4 In 0.0000 0.0000 0.8335
5 In 0.3333 0.6667 0.5001
6 In 0.6667 0.3333 0.1668
7 Hg 0.0000 0.0000 0.4181
8 Hg 0.0000 0.0000 0.5826
9 Hg 0.3333 0.6667 0.0848
10 Hg 0.3333 0.6667 0.2493
11 Hg 0.6667 0.3333 0.7514
12 Hg 0.6667 0.3333 0.9159

Properties
N(E_F) = 0.541 states/eV per atom
Formation enthalpy at 0 K = -0.200 eV per atom
Magnetic moment = 0.0 μB/f.u.
Raw total energy = -26.2 eV for the cell shown



VASP calculation (PBE) on a relaxed structure of BaLiRu4.

a = 5.4180 Å, b = 5.4180 Å, c = 5.4180 Å
α = 60.00°, β = 60.00°, γ = 60.00°
Atoms (fractional coordinates):
1 Ba 0.0000 0.0000 0.0000
2 Li 0.2500 0.2500 0.2500
3 Ru 0.1274 0.6242 0.6242
4 Ru 0.6242 0.1274 0.6242
5 Ru 0.6242 0.6242 0.1274
6 Ru 0.6242 0.6242 0.6242

Properties
N(E_F) = 1.058 states/eV per atom
Formation enthalpy at 0 K = 0.628 eV per atom
Magnetic moment = 4.2 μB/f.u.
Raw total energy = -37.2 eV for the cell shown



VASP calculation (PBE) on a relaxed structure of Tc2AgPd.

a = 5.6503 Å, b = 5.6503 Å, c = 11.4905 Å
α = 90.00°, β = 90.00°, γ = 90.00°
Atoms (fractional coordinates):
1 Tc 0.2316 0.2500 0.1250
2 Tc 0.2500 0.7316 0.3750
3 Tc 0.2500 0.7684 0.8750
4 Tc 0.2684 0.2500 0.6250
5 Tc 0.7316 0.7500 0.6250
6 Tc 0.7500 0.2316 0.8750
7 Tc 0.7500 0.2684 0.3750
8 Tc 0.7684 0.7500 0.1250
9 Ag 0.0000 0.0000 0.5000
10 Ag 0.0000 0.5000 0.7500
11 Ag 0.5000 0.0000 0.2500
12 Ag 0.5000 0.5000 0.0000
13 Pd 0.0000 0.0000 0.0000
14 Pd 0.0000 0.5000 0.2500
15 Pd 0.5000 0.0000 0.7500
16 Pd 0.5000 0.5000 0.5000

Properties
N(E_F) = 0.794 states/eV per atom
Formation enthalpy at 0 K = 1.970 eV per atom
Magnetic moment = 0.0 μB/f.u.
Relative energy among the computed polymorphs = 1212 meV/atom
Raw total energy = -83.6 eV for the cell shown



VASP calculation (PBE) on a relaxed structure of MgCr3Sn.

a = 5.1423 Å, b = 5.1423 Å, c = 5.1423 Å
α = 90.00°, β = 90.00°, γ = 90.00°
Atoms (fractional coordinates):
1 Mg 0.0000 0.0000 0.0000
2 Cr 0.0000 0.5000 0.5000
3 Cr 0.5000 0.0000 0.5000
4 Cr 0.5000 0.5000 0.0000
5 Sn 0.5000 0.5000 0.5000

Properties
N(E_F) = 1.223 states/eV per atom
Formation enthalpy at 0 K = 1.233 eV per atom
Magnetic moment = 12.7 μB/f.u.
Relative energy among the computed polymorphs = 0 meV/atom
Raw total energy = -28.3 eV for the cell shown



VASP calculation (PBE) on a relaxed structure of Na3Ge4Pd2.

a = 4.2498 Å, b = 5.9980 Å, c = 8.7207 Å
α = 108.31°, β = 90.57°, γ = 110.53°
Atoms (fractional coordinates):
1 Na 0.0000 0.0000 0.0000
2 Na 0.3848 0.7632 0.6279
3 Na 0.6152 0.2368 0.3721
4 Ge 0.0954 0.1900 0.6253
5 Ge 0.3002 0.5958 0.9300
6 Ge 0.6998 0.4042 0.0700
7 Ge 0.9046 0.8100 0.3747
8 Pd 0.3150 0.6349 0.2319
9 Pd 0.6850 0.3651 0.7681

Properties
N(E_F) = 0.233 states/eV per atom
Formation enthalpy at 0 K = -0.252 eV per atom
Magnetic moment = 0.0 μB/f.u.
Raw total energy = -35.1 eV for the cell shown